This record from Alexandria describes CaNpN2 after structural relaxation. The functional is PBE-GGA.

Summary:
**Magnetization**: 0.750 μB per atom
**VASP energy**: -8.911 eV/atom
**SG**: R3m (160)

a = 3.4634 Å, b = 3.4634 Å, c = 6.2120 Å
α = 73.81°, β = 73.81°, γ = 60.00°
With the nearest neighbours (Å) after each atom.
Fractional coordinates of all 4 atoms:
Ca (0.4951, 0.4951, 0.5148)  6 N 2.55-2.71
Np (0.6677, 0.6677, 0.9970)  6 N 2.34-2.36
N (0.0720, 0.0720, 0.7840)  3 Np 2.36, 3 Ca 2.55
N (0.2653, 0.2653, 0.2042)  3 Np 2.34